No. 1
VASP calculation (PBE) on a geometry-optimized SrZn4F8 structure.

```
SrZn4F8
1.0
0.000 4.748 4.748
4.748 0.000 4.748
4.748 4.748 0.000
Sr Zn F
1 4 8
direct
0.000 0.000 0.000
0.380 0.380 0.380
0.380 0.380 0.860
0.380 0.860 0.380
0.860 0.380 0.380
0.144 0.144 0.144
0.144 0.144 0.568
0.144 0.568 0.144
0.182 0.606 0.606
0.568 0.144 0.144
0.606 0.182 0.606
0.606 0.606 0.182
0.606 0.606 0.606
```

Formation energy (no corrections) = -2.20 eV/atom
Size of the total moment = 0.000 μB per atom

---

No. 2
VASP calculation (PBE) on a geometry-optimized SrZn2F8 structure.

```
SrZn2F8
1.0
-2.725 2.725 5.728
2.725 -2.725 5.728
2.725 2.725 -5.728
Sr Zn F
1 2 8
direct
0.000 0.000 0.000
0.250 0.750 0.500
0.750 0.250 0.500
0.033 0.544 0.852
0.181 0.033 0.489
0.309 0.456 0.489
0.456 0.967 0.148
0.544 0.691 0.511
0.691 0.181 0.148
0.819 0.309 0.852
0.967 0.819 0.511
```

Formation energy (no corrections) = -2.24 eV/atom
Size of the total moment = 0.180 μB per atom

---

No. 3
VASP calculation (PBE) on a geometry-optimized Sr2Zn3F10 structure.

```
Sr2Zn3F10
1.0
9.209 -3.016 0.000
9.209 3.016 0.000
-2.670 0.000 7.198
Sr Zn F
4 6 20
direct
0.115 0.115 0.208
0.221 0.221 0.822
0.779 0.779 0.178
0.885 0.885 0.792
0.238 0.762 0.500
0.323 0.323 0.471
0.424 0.424 0.045
0.576 0.576 0.955
0.677 0.677 0.529
0.762 0.238 0.500
0.000 0.500 0.500
0.006 0.006 0.693
0.100 0.595 0.026
0.110 0.657 0.451
0.257 0.257 0.203
0.264 0.736 0.000
0.343 0.890 0.549
0.363 0.363 0.754
0.405 0.900 0.974
0.484 0.484 0.318
0.500 0.000 0.500
0.516 0.516 0.682
0.595 0.100 0.026
0.637 0.637 0.246
0.657 0.110 0.451
0.736 0.264 0.000
0.743 0.743 0.797
0.890 0.343 0.549
0.900 0.405 0.974
0.994 0.994 0.307
```

Formation energy (no corrections) = -2.92 eV/atom
Size of the total moment = 0.000 μB per atom

---

No. 4
VASP calculation (PBE) on a geometry-optimized SrZr3F structure.

```
SrZr3F
1.0
4.834 0.000 0.000
0.000 4.834 0.000
0.000 0.000 4.834
Sr Zr F
1 3 1
direct
0.000 0.000 0.000
0.000 0.500 0.500
0.500 0.000 0.500
0.500 0.500 0.000
0.500 0.500 0.500
```

Formation energy (no corrections) = -0.25 eV/atom
Size of the total moment = 0.133 μB per atom
Energy above the most stable polymorph in this dataset = 0.0 meV per atom

---

No. 5
VASP calculation (PBE) on a geometry-optimized SrZrF2 structure.

```
SrZrF2
1.0
3.317 0.000 0.000
-1.658 2.872 0.000
0.000 0.000 24.297
Sr Zr F
3 3 6
direct
0.000 0.000 0.000
0.333 0.667 0.667
0.667 0.333 0.333
0.000 0.000 0.500
0.333 0.667 0.167
0.667 0.333 0.833
0.000 0.000 0.100
0.000 0.000 0.900
0.333 0.667 0.566
0.333 0.667 0.767
0.667 0.333 0.233
0.667 0.333 0.434
```

Formation energy (no corrections) = -1.73 eV/atom
Size of the total moment = 0.000 μB per atom
Energy above the most stable polymorph in this dataset = 588.6 meV per atom

---

No. 6
VASP calculation (PBE) on a geometry-optimized SrZr3F structure.

```
SrZr3F
1.0
5.287 0.000 0.000
0.000 5.287 0.000
0.000 0.000 5.287
Sr Zr F
1 3 1
direct
0.000 0.000 0.000
0.000 0.000 0.500
0.000 0.500 0.000
0.500 0.000 0.000
0.500 0.500 0.500
```

Formation energy (no corrections) = 1.79 eV/atom
Size of the total moment = 0.191 μB per atom
Energy above the most stable polymorph in this dataset = 2035.5 meV per atom

---

No. 7
VASP calculation (PBE) on a geometry-optimized SrZrF2 structure.

```
SrZrF2
1.0
3.890 0.000 0.000
-1.945 3.369 0.000
0.000 0.000 19.094
Sr Zr F
3 3 6
direct
0.000 0.000 0.000
0.333 0.667 0.667
0.667 0.333 0.333
0.000 0.000 0.500
0.333 0.667 0.167
0.667 0.333 0.833
0.000 0.000 0.383
0.000 0.000 0.617
0.333 0.667 0.049
0.333 0.667 0.284
0.667 0.333 0.716
0.667 0.333 0.951
```

Formation energy (no corrections) = -2.32 eV/atom
Size of the total moment = 0.499 μB per atom
Energy above the most stable polymorph in this dataset = 0.0 meV per atom

---

No. 8
VASP calculation (PBE) on a geometry-optimized SrZrF3 structure.

```
SrZrF3
1.0
4.555 0.000 0.000
0.000 4.555 0.000
0.000 0.000 4.555
Sr Zr F
1 1 3
direct
0.000 0.000 0.000
0.500 0.500 0.500
0.000 0.500 0.500
0.500 0.000 0.500
0.500 0.500 0.000
```

Formation energy (no corrections) = -2.34 eV/atom
Size of the total moment = 0.448 μB per atom
Energy above the most stable polymorph in this dataset = 0.0 meV per atom

---

No. 9
VASP calculation (PBE) on a geometry-optimized SrZrF3 structure.

```
SrZrF3
1.0
4.707 0.000 0.000
0.000 4.707 0.000
0.000 0.000 4.707
Sr Zr F
1 1 3
direct
0.000 0.000 0.000
0.500 0.500 0.500
0.000 0.000 0.500
0.000 0.500 0.000
0.500 0.000 0.000
```

Formation energy (no corrections) = -2.07 eV/atom
Size of the total moment = 0.577 μB per atom
Energy above the most stable polymorph in this dataset = 278.7 meV per atom

---

No. 10
VASP calculation (PBE) on a geometry-optimized SrZrF2 structure.

```
SrZrF2
1.0
5.636 0.000 0.000
0.000 5.636 0.000
0.000 0.000 11.031
Sr Zr F
4 4 8
direct
0.000 0.000 0.000
0.000 0.500 0.250
0.500 0.000 0.750
0.500 0.500 0.500
0.000 0.000 0.500
0.000 0.500 0.750
0.500 0.000 0.250
0.500 0.500 0.000
0.242 0.250 0.625
0.250 0.742 0.875
0.250 0.758 0.375
0.258 0.250 0.125
0.742 0.750 0.125
0.750 0.242 0.375
0.750 0.258 0.875
0.758 0.750 0.625
```

Formation energy (no corrections) = -1.91 eV/atom
Size of the total moment = 0.810 μB per atom
Energy above the most stable polymorph in this dataset = 409.5 meV per atom

---

E_tot (computed, eV per atom): -3.877; -3.983; -4.645; -6.085; -5.224; -4.050; -5.813; -5.513; -5.235; -5.403